This record from Alexandria describes crystalline K6Na5 at its relaxed geometry. The functional is PBE.

For the formation energy, the calculation gives 36 meV per atom. As for the volume: 55.3 Å³/atom. The calculation puts the theoretical density at 1.0 g cm⁻³.

It has space group C2/m (No. 12), with a = 13.216 Å, b = 15.539 Å, c = 6.811 Å, α = 90.00°, β = 119.48° and γ = 90.00°. The asymmetric unit holds K at (0.189, 0.000, 0.186), K at (0.192, 0.161, 0.689), Na at (0.000, 0.246, 0.000), Na at (0.000, 0.380, 0.500) and Na at (0.000, 0.500, 0.000).